A plane-wave DFT calculation with PBE was carried out for an optimized crystal structure of Y2ScAl3Pt4.

a = 4.1674 Å, b = 4.1674 Å, c = 11.0937 Å
α = 90.00°, β = 90.00°, γ = 90.00°
Atoms (fractional coordinates):
Y 0.0000 0.5000 0.2370
Y 0.5000 0.0000 0.7630
Sc 0.0000 0.0000 0.5000
Al 0.0000 0.5000 0.8735
Al 0.5000 0.0000 0.1265
Al 0.5000 0.5000 0.5000
Pt 0.0000 0.0000 0.0000
Pt 0.0000 0.5000 0.6496
Pt 0.5000 0.0000 0.3504
Pt 0.5000 0.5000 0.0000

M_tot, μB per cell: 0.00
VASP energy, eV per cell: -65.674


A plane-wave DFT calculation with PBE was carried out for an optimized crystal structure of BaPaS3.

a = 5.3007 Å, b = 7.6367 Å, c = 7.8809 Å
α = 90.00°, β = 109.60°, γ = 90.00°
Atoms (fractional coordinates):
Ba 0.1989 0.2500 0.3987
Ba 0.8011 0.7500 0.6013
Pa 0.4904 0.2500 0.9804
Pa 0.5096 0.7500 0.0196
S 0.0123 0.7500 0.0251
S 0.3666 0.5175 0.7326
S 0.3666 0.9825 0.7326
S 0.6334 0.0175 0.2674
S 0.6334 0.4825 0.2674
S 0.9877 0.2500 0.9749

Formation energy without anion corrections, meV per atom: -1773
M_tot, μB per cell: 2.05


A plane-wave DFT calculation with PBE was carried out for an optimized crystal structure of BaMg14B.

a = 10.4217 Å, b = 6.6995 Å, c = 6.6995 Å
α = 55.63°, β = 90.00°, γ = 90.00°
Atoms (fractional coordinates):
Ba 0.0000 0.0000 0.0000
Mg 0.0000 0.0342 0.4939
Mg 0.0000 0.4939 0.0342
Mg 0.1624 0.5970 0.5970
Mg 0.2582 0.1345 0.6281
Mg 0.2582 0.6281 0.1345
Mg 0.2673 0.1438 0.1438
Mg 0.5000 0.4831 0.9721
Mg 0.5000 0.4855 0.4855
Mg 0.5000 0.9721 0.4831
Mg 0.5000 0.9733 0.9733
Mg 0.7327 0.1438 0.1438
Mg 0.7418 0.1345 0.6281
Mg 0.7418 0.6281 0.1345
Mg 0.8376 0.5970 0.5970
B 0.0000 0.4310 0.4310

M_tot, μB per cell: 0.00
Polymorph energy (0 for the lowest one), meV per atom: 0.0